Entry 1:
Here is a relaxed SrHfCr3 crystal from the Alexandria database. Energies are from PBEsol.

Cell lengths 4.916, 4.916, 4.916 Å; angles 90.00, 90.00, 90.00 degrees
Fractional positions:
1 Sr 0.000 0.000 0.000
2 Hf 0.500 0.500 0.500
3 Cr 0.000 0.500 0.500
4 Cr 0.500 0.000 0.500
5 Cr 0.500 0.500 0.000

Properties
Mass density in kg/m³: 5898
Formation energy in eV/atom: 1.415



Entry 2:
Here is a relaxed LiCdRh2 crystal from the Alexandria database. Energies are from PBEsol.

Cell lengths 4.358, 4.358, 4.358 Å; angles 60.00, 60.00, 60.00 degrees
Fractional positions:
1 Li 0.000 0.000 0.000
2 Cd 0.750 0.750 0.750
3 Rh 0.250 0.250 0.250
4 Rh 0.500 0.500 0.500

Properties
Mass density in kg/m³: 9229
Formation energy in eV/atom: -0.014



Entry 3:
Here is a relaxed GeP2N crystal from the Alexandria database. Energies are from PBEsol.

Cell lengths 4.169, 4.169, 4.169 Å; angles 60.00, 60.00, 60.00 degrees
Fractional positions:
1 Ge 0.000 0.000 0.000
2 P 0.250 0.250 0.250
3 P 0.750 0.750 0.750
4 N 0.500 0.500 0.500

Properties
Total energy in eV per atom: -5.027
Mass density in kg/m³: 4817



Entry 4:
Here is a relaxed B3AuO crystal from the Alexandria database. Energies are from PBEsol.

Cell lengths 4.051, 4.051, 4.051 Å; angles 90.00, 90.00, 90.00 degrees
Fractional positions:
1 B 0.000 0.000 0.500
2 B 0.000 0.500 0.000
3 B 0.500 0.000 0.000
4 Au 0.000 0.000 0.000
5 O 0.500 0.500 0.500

Properties
Total energy in eV per atom: -4.310
Mass density in kg/m³: 6128



Entry 5:
Here is a relaxed Mg2InAg crystal from the Alexandria database. Energies are from PBEsol.

Cell lengths 3.667, 3.667, 6.046 Å; angles 90.00, 90.00, 90.00 degrees
Fractional positions:
1 Mg 0.000 0.000 0.000
2 Mg 0.500 0.500 0.273
3 In 0.500 0.500 0.752
4 Ag 0.000 0.000 0.489

Properties
Mass density in kg/m³: 5541
Formation energy in eV/atom: -0.097



Entry 6:
Here is a relaxed KSrAs2 crystal from the Alexandria database. Energies are from PBEsol.

Cell lengths 4.370, 4.370, 6.471 Å; angles 90.00, 90.00, 90.00 degrees
Fractional positions:
1 K 0.000 0.000 0.000
2 Sr 0.500 0.500 0.399
3 As 0.000 0.000 0.517
4 As 0.500 0.500 0.850

Properties
Mass density in kg/m³: 3716
Formation energy in eV/atom: -0.074
E above lowest polymorph in eV/f.u.: 2.49



Entry 7:
Here is a relaxed In2HgBi2 crystal from the Alexandria database. Energies are from PBEsol.

Cell lengths 8.176, 8.176, 8.176 Å; angles 148.06, 148.06, 45.80 degrees
Fractional positions:
1 In 0.250 0.750 0.500
2 In 0.750 0.250 0.500
3 Hg 0.000 0.000 0.000
4 Bi 0.388 0.388 0.000
5 Bi 0.612 0.612 0.000

Properties
Mass density in kg/m³: 9239
Formation energy in eV/atom: 0.096
E above lowest polymorph in eV/f.u.: 0.11



Entry 8:
Here is a relaxed HoGe3 crystal from the Alexandria database. Energies are from PBEsol.

Cell lengths 10.445, 10.445, 3.860 Å; angles 90.00, 90.00, 158.08 degrees
Fractional positions:
1 Ho 0.082 0.918 0.750
2 Ho 0.918 0.082 0.250
3 Ge 0.190 0.810 0.250
4 Ge 0.311 0.689 0.250
5 Ge 0.460 0.540 0.750
6 Ge 0.540 0.460 0.250
7 Ge 0.689 0.311 0.750
8 Ge 0.810 0.190 0.750

Properties
Mass density in kg/m³: 8088
Formation energy in eV/atom: -0.522



Entry 9:
Here is a relaxed Zn2FeIrO6 crystal from the Alexandria database. Energies are from PBEsol.

Cell lengths 5.063, 5.082, 8.962 Å; angles 90.00, 123.89, 90.00 degrees
Fractional positions:
1 Zn 0.245 0.035 0.250
2 Zn 0.245 0.465 0.750
3 Zn 0.755 0.535 0.250
4 Zn 0.755 0.965 0.750
5 Fe 0.500 0.000 0.000
6 Fe 0.500 0.500 0.500
7 Ir 0.000 0.000 0.500
8 Ir 0.000 0.500 0.000
9 O 0.138 0.082 0.756
10 O 0.138 0.418 0.256
11 O 0.247 0.671 0.562
12 O 0.247 0.829 0.062
13 O 0.397 0.188 0.566
14 O 0.397 0.312 0.066
15 O 0.603 0.688 0.934
16 O 0.603 0.812 0.434
17 O 0.753 0.171 0.938
18 O 0.753 0.329 0.438
19 O 0.862 0.582 0.744
20 O 0.862 0.918 0.244

Properties
Total energy in eV per atom: -6.422
Mass density in kg/m³: 8240



Entry 10:
Here is a relaxed BaCaCo2N crystal from the Alexandria database. Energies are from PBEsol.

Cell lengths 4.298, 4.298, 7.005 Å; angles 90.00, 90.00, 90.00 degrees
Fractional positions:
1 Ba 0.000 0.000 0.000
2 Ca 0.000 0.000 0.500
3 Co 0.000 0.500 0.500
4 Co 0.500 0.000 0.500
5 N 0.500 0.500 0.000

Properties
Total energy in eV per atom: -3.648
Mass density in kg/m³: 3968



Entry 11:
Here is a relaxed TePb crystal from the Alexandria database. Energies are from PBEsol.

Cell lengths 5.464, 5.464, 5.464 Å; angles 60.00, 60.00, 60.00 degrees
Fractional positions:
1 Te 0.125 0.125 0.125
2 Te 0.875 0.875 0.875
3 Pb 0.375 0.375 0.375
4 Pb 0.625 0.625 0.625

Properties
Total energy in eV per atom: -3.708
Mass density in kg/m³: 9637



Entry 12:
Here is a relaxed LiCrFeO4 crystal from the Alexandria database. Energies are from PBEsol.

Cell lengths 5.718, 5.718, 5.718 Å; angles 121.26, 119.86, 89.04 degrees
Fractional positions:
1 Li 0.374 0.124 0.250
2 Li 0.626 0.876 0.750
3 Cr 0.000 0.500 0.500
4 Cr 0.500 0.500 0.000
5 Fe 0.000 0.000 0.500
6 Fe 0.000 0.500 0.000
7 O 0.210 0.738 0.472
8 O 0.234 0.255 0.521
9 O 0.234 0.262 0.972
10 O 0.234 0.714 0.979
11 O 0.766 0.286 0.021
12 O 0.766 0.738 0.028
13 O 0.766 0.745 0.479
14 O 0.790 0.262 0.528

Properties
Mass density in kg/m³: 4532
E above lowest polymorph in eV/f.u.: 0.00